Density functional theory data (PBE-GGA) for a geometry-optimized BaSmAuSeS2 structure.

```
data_BaSmAuSeS2
_cell_length_a 4.184
_cell_length_b 14.203
_cell_length_c 10.774
_cell_angle_alpha 90.00
_cell_angle_beta 90.00
_cell_angle_gamma 90.00
_space_group_name_H-M_alt 'C m c m'
_space_group_IT_number 63
_space_group_name_Hall '-C 2c 2'
loop_
_atom_site_label
_atom_site_fract_x
_atom_site_fract_y
_atom_site_fract_z
Ba1 0.000 0.239 0.250
Sm1 0.000 0.000 0.000
Au1 0.000 0.466 0.750
Se1 0.000 0.087 0.750
S1 0.000 0.368 0.557
```

Summary:
Volume = 26.7 Å³ per atom
DFT total energy = -5.151 eV per atom
Total magnetic moment = 0.00 μB/f.u.

=====

Density functional theory data (PBE-GGA) for a geometry-optimized BaSnAu2SeS3 structure.

```
data_BaSnAu2SeS3
_cell_length_a 6.662
_cell_length_b 6.670
_cell_length_c 6.689
_cell_angle_alpha 119.69
_cell_angle_beta 101.92
_cell_angle_gamma 106.55
_space_group_name_H-M_alt 'P 1'
_space_group_IT_number 1
_space_group_name_Hall 'P 1'
loop_
_atom_site_label
_atom_site_fract_x
_atom_site_fract_y
_atom_site_fract_z
Ba1 0.000 0.000 0.000
Sn1 0.500 0.011 0.501
Au1 0.324 0.509 0.828
Au2 0.687 0.501 0.169
Se1 0.502 0.608 0.465
S1 0.154 0.053 0.539
S2 0.493 0.963 0.111
S3 0.852 0.384 0.876
```

Summary:
Volume = 28.1 Å³ per atom
DFT total energy = -4.273 eV per atom

=====

Density functional theory data (PBE-GGA) for a geometry-optimized BaTmAuSe2S structure.

```
data_BaTmAuSe2S
_cell_length_a 4.193
_cell_length_b 14.107
_cell_length_c 10.449
_cell_angle_alpha 90.00
_cell_angle_beta 90.00
_cell_angle_gamma 90.00
_space_group_name_H-M_alt 'C m c m'
_space_group_IT_number 63
_space_group_name_Hall '-C 2c 2'
loop_
_atom_site_label
_atom_site_fract_x
_atom_site_fract_y
_atom_site_fract_z
Ba1 0.000 0.243 0.250
Tm1 0.000 0.500 0.000
Au1 0.000 0.032 0.750
Se1 0.000 0.138 0.546
S1 0.000 0.427 0.750
```

Summary:
Volume = 25.8 Å³ per atom
DFT total energy = -4.976 eV per atom
Total magnetic moment = 0.01 μB/f.u.

=====

Density functional theory data (PBE-GGA) for a geometry-optimized BaTmAuSeS2 structure.

```
data_BaTmAuSeS2
_cell_length_a 4.115
_cell_length_b 14.106
_cell_length_c 10.559
_cell_angle_alpha 90.00
_cell_angle_beta 90.00
_cell_angle_gamma 90.00
_space_group_name_H-M_alt 'C m c m'
_space_group_IT_number 63
_space_group_name_Hall '-C 2c 2'
loop_
_atom_site_label
_atom_site_fract_x
_atom_site_fract_y
_atom_site_fract_z
Ba1 0.000 0.242 0.250
Tm1 0.000 0.000 0.000
Au1 0.000 0.457 0.750
Se1 0.000 0.081 0.750
S1 0.000 0.371 0.547
```

Summary:
Volume = 25.5 Å³ per atom
DFT total energy = -5.087 eV per atom
Total magnetic moment = 0.01 μB/f.u.

=====

Density functional theory data (PBE-GGA) for a geometry-optimized BaYAuSeS2 structure.

```
data_BaYAuSeS2
_cell_length_a 4.140
_cell_length_b 14.139
_cell_length_c 10.629
_cell_angle_alpha 90.00
_cell_angle_beta 90.00
_cell_angle_gamma 90.00
_space_group_name_H-M_alt 'C m c m'
_space_group_IT_number 63
_space_group_name_Hall '-C 2c 2'
loop_
_atom_site_label
_atom_site_fract_x
_atom_site_fract_y
_atom_site_fract_z
Ba1 0.000 0.240 0.250
Y1 0.000 0.000 0.000
Au1 0.000 0.463 0.750
Se1 0.000 0.085 0.750
S1 0.000 0.370 0.552
```

Summary:
Volume = 25.9 Å³ per atom
DFT total energy = -5.437 eV per atom
Total magnetic moment = 0.01 μB/f.u.

=====

Density functional theory data (PBE-GGA) for a geometry-optimized Ba2SiAuS6 structure.

```
data_Ba2SiAuS6
_cell_length_a 9.719
_cell_length_b 9.719
_cell_length_c 9.719
_cell_angle_alpha 90.00
_cell_angle_beta 90.00
_cell_angle_gamma 90.00
_space_group_name_H-M_alt 'F m -3 m'
_space_group_IT_number 225
_space_group_name_Hall '-F 4 2 3'
loop_
_atom_site_label
_atom_site_fract_x
_atom_site_fract_y
_atom_site_fract_z
Ba1 0.250 0.250 0.250
Si1 0.000 0.000 0.000
Au1 0.000 0.000 0.500
S1 0.000 0.000 0.241
```

Summary:
Volume = 22.9 Å³ per atom
DFT total energy = -4.480 eV per atom

=====

Density functional theory data (PBE-GGA) for a geometry-optimized BaSmAuS3 structure.

```
data_BaSmAuS3
_cell_length_a 17.999
_cell_length_b 4.107
_cell_length_c 8.500
_cell_angle_alpha 90.00
_cell_angle_beta 101.55
_cell_angle_gamma 90.00
_space_group_name_H-M_alt 'C 1 2/m 1'
_space_group_IT_number 12
_space_group_name_Hall '-C 2y'
loop_
_atom_site_label
_atom_site_fract_x
_atom_site_fract_y
_atom_site_fract_z
Ba1 0.132 0.000 0.079
Sm1 0.163 0.000 0.586
Au1 0.039 0.500 0.717
S1 0.000 0.000 0.500
S2 0.000 0.500 0.000
S3 0.176 0.500 0.369
S4 0.181 0.500 0.820
```

Summary:
Volume = 25.7 Å³ per atom
DFT total energy = -5.236 eV per atom
Total magnetic moment = 0.00 μB/f.u.

=====

Density functional theory data (PBE-GGA) for a geometry-optimized BaSmAuS3 structure.

```
data_BaSmAuS3
_cell_length_a 8.070
_cell_length_b 4.138
_cell_length_c 9.775
_cell_angle_alpha 90.00
_cell_angle_beta 106.18
_cell_angle_gamma 90.00
_space_group_name_H-M_alt 'P 1 21/m 1'
_space_group_IT_number 11
_space_group_name_Hall '-P 2yb'
loop_
_atom_site_label
_atom_site_fract_x
_atom_site_fract_y
_atom_site_fract_z
Ba1 0.244 0.250 0.283
Sm1 0.308 0.750 0.845
Au1 0.112 0.250 0.598
S1 0.068 0.250 0.844
S2 0.277 0.750 0.547
S3 0.443 0.750 0.140
```

Summary:
Volume = 26.1 Å³ per atom
DFT total energy = -5.264 eV per atom
Total magnetic moment = 0.00 μB/f.u.

=====

Density functional theory data (PBE-GGA) for a geometry-optimized BaSmTeAuS2 structure.

```
data_BaSmTeAuS2
_cell_length_a 4.204
_cell_length_b 15.032
_cell_length_c 11.196
_cell_angle_alpha 90.00
_cell_angle_beta 90.00
_cell_angle_gamma 90.00
_space_group_name_H-M_alt 'C m c m'
_space_group_IT_number 63
_space_group_name_Hall '-C 2c 2'
loop_
_atom_site_label
_atom_site_fract_x
_atom_site_fract_y
_atom_site_fract_z
Ba1 0.000 0.214 0.250
Sm1 0.000 0.000 0.000
Te1 0.000 0.101 0.750
Au1 0.000 0.478 0.750
S1 0.000 0.380 0.567
```

Summary:
Volume = 29.5 Å³ per atom
DFT total energy = -4.987 eV per atom
Total magnetic moment = 0.00 μB/f.u.

=====

Density functional theory data (PBE-GGA) for a geometry-optimized Ba2TaAuS6 structure.

```
data_Ba2TaAuS6
_cell_length_a 9.907
_cell_length_b 9.907
_cell_length_c 9.907
_cell_angle_alpha 90.00
_cell_angle_beta 90.00
_cell_angle_gamma 90.00
_space_group_name_H-M_alt 'F m -3 m'
_space_group_IT_number 225
_space_group_name_Hall '-F 4 2 3'
loop_
_atom_site_label
_atom_site_fract_x
_atom_site_fract_y
_atom_site_fract_z
Ba1 0.250 0.250 0.250
Ta1 0.000 0.000 0.000
Au1 0.000 0.000 0.500
S1 0.000 0.000 0.245
```

Summary:
Volume = 24.3 Å³ per atom
DFT total energy = -5.381 eV per atom
Total magnetic moment = 0.00 μB/f.u.

=====

Density functional theory data (PBE-GGA) for a geometry-optimized BaTbTeAuS2 structure.

```
data_BaTbTeAuS2
_cell_length_a 4.165
_cell_length_b 15.028
_cell_length_c 11.074
_cell_angle_alpha 90.00
_cell_angle_beta 90.00
_cell_angle_gamma 90.00
_space_group_name_H-M_alt 'C m c m'
_space_group_IT_number 63
_space_group_name_Hall '-C 2c 2'
loop_
_atom_site_label
_atom_site_fract_x
_atom_site_fract_y
_atom_site_fract_z
Ba1 0.000 0.212 0.250
Tb1 0.000 0.000 0.000
Te1 0.000 0.102 0.750
Au1 0.000 0.479 0.750
S1 0.000 0.382 0.564
```

Summary:
Volume = 28.9 Å³ per atom
DFT total energy = -4.965 eV per atom
Total magnetic moment = 0.01 μB/f.u.

=====

Density functional theory data (PBE-GGA) for a geometry-optimized BaTbTe2AuS structure.

```
data_BaTbTe2AuS
_cell_length_a 4.390
_cell_length_b 14.982
_cell_length_c 10.789
_cell_angle_alpha 90.00
_cell_angle_beta 90.00
_cell_angle_gamma 90.00
_space_group_name_H-M_alt 'C m c m'
_space_group_IT_number 63
_space_group_name_Hall '-C 2c 2'
loop_
_atom_site_label
_atom_site_fract_x
_atom_site_fract_y
_atom_site_fract_z
Ba1 0.000 0.228 0.250
Tb1 0.000 0.500 0.000
Te1 0.000 0.144 0.554
Au1 0.000 0.023 0.750
S1 0.000 0.431 0.750
```

Summary:
Volume = 29.6 Å³ per atom
DFT total energy = -4.708 eV per atom
Total magnetic moment = 0.00 μB/f.u.

=====

Density functional theory data (PBE-GGA) for a geometry-optimized Ba2TcAuS6 structure.

```
data_Ba2TcAuS6
_cell_length_a 9.803
_cell_length_b 9.803
_cell_length_c 9.803
_cell_angle_alpha 90.00
_cell_angle_beta 90.00
_cell_angle_gamma 90.00
_space_group_name_H-M_alt 'F m -3 m'
_space_group_IT_number 225
_space_group_name_Hall '-F 4 2 3'
loop_
_atom_site_label
_atom_site_fract_x
_atom_site_fract_y
_atom_site_fract_z
Ba1 0.250 0.250 0.250
Tc1 0.000 0.000 0.000
Au1 0.000 0.000 0.500
S1 0.000 0.000 0.243
```

Summary:
Volume = 23.6 Å³ per atom
DFT total energy = -4.921 eV per atom
Total magnetic moment = 2.00 μB/f.u.

=====

Density functional theory data (PBE-GGA) for a geometry-optimized BaTmTeAuS2 structure.

```
data_BaTmTeAuS2
_cell_length_a 4.126
_cell_length_b 14.980
_cell_length_c 10.978
_cell_angle_alpha 90.00
_cell_angle_beta 90.00
_cell_angle_gamma 90.00
_space_group_name_H-M_alt 'C m c m'
_space_group_IT_number 63
_space_group_name_Hall '-C 2c 2'
loop_
_atom_site_label
_atom_site_fract_x
_atom_site_fract_y
_atom_site_fract_z
Ba1 0.000 0.211 0.250
Tm1 0.000 0.000 0.000
Te1 0.000 0.102 0.750
Au1 0.000 0.477 0.750
S1 0.000 0.384 0.560
```

Summary:
Volume = 28.3 Å³ per atom
DFT total energy = -4.912 eV per atom
Total magnetic moment = 0.00 μB/f.u.

=====

Density functional theory data (PBE-GGA) for a geometry-optimized BaTmTe2AuS structure.

```
data_BaTmTe2AuS
_cell_length_a 4.364
_cell_length_b 14.912
_cell_length_c 10.728
_cell_angle_alpha 90.00
_cell_angle_beta 90.00
_cell_angle_gamma 90.00
_space_group_name_H-M_alt 'C m c m'
_space_group_IT_number 63
_space_group_name_Hall '-C 2c 2'
loop_
_atom_site_label
_atom_site_fract_x
_atom_site_fract_y
_atom_site_fract_z
Ba1 0.000 0.230 0.250
Tm1 0.000 0.500 0.000
Te1 0.000 0.142 0.551
Au1 0.000 0.023 0.750
S1 0.000 0.432 0.750
```

Summary:
Volume = 29.1 Å³ per atom
DFT total energy = -4.648 eV per atom
Total magnetic moment = 0.01 μB/f.u.

=====

Density functional theory data (PBE-GGA) for a geometry-optimized BaYTeAuS2 structure.

```
data_BaYTeAuS2
_cell_length_a 4.156
_cell_length_b 15.013
_cell_length_c 11.065
_cell_angle_alpha 90.00
_cell_angle_beta 90.00
_cell_angle_gamma 90.00
_space_group_name_H-M_alt 'C m c m'
_space_group_IT_number 63
_space_group_name_Hall '-C 2c 2'
loop_
_atom_site_label
_atom_site_fract_x
_atom_site_fract_y
_atom_site_fract_z
Ba1 0.000 0.213 0.250
Y1 0.000 0.000 0.000
Te1 0.000 0.101 0.750
Au1 0.000 0.478 0.750
S1 0.000 0.382 0.563
```

Summary:
Volume = 28.8 Å³ per atom
DFT total energy = -5.268 eV per atom
Total magnetic moment = 0.00 μB/f.u.

=====

Density functional theory data (PBE-GGA) for a geometry-optimized Ba2TlSb2Au structure.

```
data_Ba2TlSb2Au
_cell_length_a 4.8718
_cell_length_b 4.8718
_cell_length_c 9.9881
_cell_angle_alpha 90.00
_cell_angle_beta 90.00
_cell_angle_gamma 120.00
_space_group_name_H-M_alt 'P 3 m 1'
_space_group_IT_number 156
_space_group_name_Hall 'P 3 -2"'
loop_
_atom_site_label
_atom_site_fract_x
_atom_site_fract_y
_atom_site_fract_z
Ba1 0.0000 0.0000 0.0000
Ba2 0.0000 0.0000 0.4668
Tl1 0.6667 0.3333 0.7990
Sb1 0.3333 0.6667 0.6765
Sb2 0.6667 0.3333 0.2338
Au1 0.3333 0.6667 0.2219
```

Summary:
Volume = 34.2 Å³ per atom
DFT total energy = -3.729 eV per atom

=====

Density functional theory data (PBE-GGA) for a geometry-optimized BaScAuSe3 structure.

```
data_BaScAuSe3
_cell_length_a 18.102
_cell_length_b 4.069
_cell_length_c 8.550
_cell_angle_alpha 90.00
_cell_angle_beta 99.50
_cell_angle_gamma 90.00
_space_group_name_H-M_alt 'C 1 2/m 1'
_space_group_IT_number 12
_space_group_name_Hall '-C 2y'
loop_
_atom_site_label
_atom_site_fract_x
_atom_site_fract_y
_atom_site_fract_z
Ba1 0.133 0.000 0.083
Sc1 0.166 0.000 0.588
Au1 0.041 0.500 0.711
Se1 0.000 0.000 0.500
Se2 0.000 0.500 0.000
Se3 0.179 0.500 0.382
Se4 0.185 0.500 0.810
```

Summary:
Volume = 25.9 Å³ per atom
DFT total energy = -4.993 eV per atom
Total magnetic moment = 0.00 μB/f.u.

=====

Density functional theory data (PBE-GGA) for a geometry-optimized BaScAuSe3 structure.

```
data_BaScAuSe3
_cell_length_a 8.182
_cell_length_b 4.117
_cell_length_c 9.651
_cell_angle_alpha 90.00
_cell_angle_beta 107.34
_cell_angle_gamma 90.00
_space_group_name_H-M_alt 'P 1 21/m 1'
_space_group_IT_number 11
_space_group_name_Hall '-P 2yb'
loop_
_atom_site_label
_atom_site_fract_x
_atom_site_fract_y
_atom_site_fract_z
Ba1 0.226 0.250 0.269
Sc1 0.317 0.750 0.843
Au1 0.098 0.250 0.599
Se1 0.099 0.250 0.870
Se2 0.287 0.750 0.551
Se3 0.449 0.750 0.137
```

Summary:
Volume = 25.9 Å³ per atom
DFT total energy = -5.056 eV per atom
Total magnetic moment = 0.00 μB/f.u.

=====

Density functional theory data (PBE-GGA) for a geometry-optimized BaScTeAuSe2 structure.

```
data_BaScTeAuSe2
_cell_length_a 4.133
_cell_length_b 14.932
_cell_length_c 10.761
_cell_angle_alpha 90.00
_cell_angle_beta 90.00
_cell_angle_gamma 90.00
_space_group_name_H-M_alt 'C m c m'
_space_group_IT_number 63
_space_group_name_Hall '-C 2c 2'
loop_
_atom_site_label
_atom_site_fract_x
_atom_site_fract_y
_atom_site_fract_z
Ba1 0.000 0.225 0.250
Sc1 0.000 0.000 0.000
Te1 0.000 0.088 0.750
Au1 0.000 0.465 0.750
Se1 0.000 0.375 0.544
```

Summary:
Volume = 27.7 Å³ per atom
DFT total energy = -4.868 eV per atom
Total magnetic moment = 0.00 μB/f.u.